(1)
Computed, not measured: crystalline SbTe2PtPb at its relaxed geometry at the PBE level of DFT.

Cell: 5.7069 5.7069 5.7669 Å, 90.00 90.00 90.00°
Space group P4/mmm (No. 123)
Symmetry-distinct sites (fractional):
Sb (0.0000, 0.0000, 0.0000) (multiplicity 1)
Te (0.0000, 0.5000, 0.5000) (multiplicity 2)
Pt (0.5000, 0.5000, 0.0000) (multiplicity 1)
Pb (0.0000, 0.0000, 0.5000) (multiplicity 1)

Results
- Energy relative to the elements, uncorrected: 1.336 eV per atom
- Relative energy among the computed polymorphs: 1193 meV per atom
- VASP energy: -13.5 eV/cell
- V: 37.56 Å³/atom

(2)
Computed, not measured: crystalline ZnSbPt2Pb at its relaxed geometry at the PBE level of DFT.

Cell: 4.8167 4.8167 5.0140 Å, 90.00 90.00 90.00°
Space group P4/mmm (No. 123)
Symmetry-distinct sites (fractional):
Zn (0.0000, 0.0000, 0.0000) (multiplicity 1)
Sb (0.0000, 0.0000, 0.5000) (multiplicity 1)
Pt (0.0000, 0.5000, 0.0000) (multiplicity 2)
Pb (0.5000, 0.5000, 0.5000) (multiplicity 1)

Results
- Energy relative to the elements, uncorrected: 0.372 eV per atom
- VASP energy: -19.3 eV/cell
- V: 23.27 Å³/atom